## HfAu3O (SCAN)

Data for HfAu3O at its PBEsol-relaxed geometry.

Crystal system: cubic
Distance to the lowest polymorph of the same formula in meV/atom: 692
Spin magnetization in μB per atom: 0.28
DOS(E_F) in states/eV per cell: 6.8

```
HfAu3O
1.0
5.133 0.000 0.000
0.000 5.133 0.000
0.000 0.000 5.133
O Au Hf
1 3 1
direct
0.500 0.500 0.500
0.500 0.000 0.000
0.000 0.000 0.500
0.000 0.500 0.000
0.000 0.000 0.000
```

---

## HfAu3O (SCAN)

Data for HfAu3O at its PBEsol-relaxed geometry.

Crystal system: cubic
Distance to the lowest polymorph of the same formula in meV/atom: 0
Spin magnetization in μB per atom: 0.00
DOS(E_F) in states/eV per cell: 5.6

```
HfAu3O
1.0
-0.024 1.931 3.957
-4.242 1.053 -0.539
-1.183 -3.815 1.855
Hf Au O
1 3 1
direct
0.500 0.500 0.500
0.500 0.000 0.000
0.000 0.500 0.000
0.000 0.000 0.500
0.000 0.000 0.000
```

---

## HfAuO2 (SCAN)

Data for HfAuO2 at its PBEsol-relaxed geometry.

Calculated total energy in eV/atom: -37.161
Crystal system: cubic
Spin magnetization in μB per atom: 0.00
DOS(E_F) in states/eV per cell: 3.5

```
HfAuO2
1.0
4.058 0.000 0.000
2.029 3.515 0.000
2.029 1.172 3.314
O Au Hf
2 1 1
direct
0.750 0.750 0.750
0.250 0.250 0.250
0.500 0.500 0.500
0.000 0.000 0.000
```

---

## HfAuO2 (SCAN)

Data for HfAuO2 at its PBEsol-relaxed geometry.

Calculated total energy in eV/atom: -38.453
Crystal system: trigonal
Spin magnetization in μB per atom: 0.00
DOS(E_F) in states/eV per cell: 0.5

```
HfAuO2
1.0
3.111 0.000 0.000
1.555 2.694 0.000
1.555 0.898 8.395
Hf Au O
1 1 2
direct
0.500 0.500 0.500
0.000 0.000 0.000
0.127 0.127 0.620
0.873 0.873 0.380
```

---

## HfPAuO2 (SCAN)

Data for HfPAuO2 at its PBEsol-relaxed geometry.

Calculated total energy in eV/atom: -32.268
Crystal system: tetragonal
Spin magnetization in μB per atom: 0.00
DOS(E_F) in states/eV per cell: 3.2

```
HfPAuO2
1.0
-0.649 3.839 0.220
-3.450 -0.483 -1.753
-2.442 -0.699 4.997
O Hf P Au
2 1 1 1
direct
0.500 0.000 0.000
0.000 0.500 0.000
0.000 0.000 0.000
0.000 0.000 0.500
0.500 0.500 0.500
```

---

## HfTa2AuO (SCAN)

Data for HfTa2AuO at its PBEsol-relaxed geometry.

Calculated total energy in eV/atom: -52.055
Crystal system: tetragonal
Spin magnetization in μB per atom: 0.00
DOS(E_F) in states/eV per cell: 5.6

```
HfTa2AuO
1.0
-2.496 3.644 -2.046
-4.178 -2.123 1.317
0.095 2.452 4.253
Ta Au O Hf
2 1 1 1
direct
0.500 0.000 0.000
0.000 0.500 0.000
0.000 0.000 0.500
0.500 0.500 0.500
0.000 0.000 0.000
```

---

## HfPd2Au (SCAN)

Data for HfPd2Au at its PBEsol-relaxed geometry.

Crystal system: cubic
Spin magnetization in μB per atom: 0.00
Energy of formation in meV/atom: -681
DOS(E_F) in states/eV per cell: 2.5

```
HfPd2Au
1.0
4.520 0.000 0.000
2.260 3.915 0.000
2.260 1.305 3.691
Pd Hf Au
2 1 1
direct
0.250 0.250 0.250
0.750 0.750 0.750
0.000 0.000 0.000
0.500 0.500 0.500
```

---

## HfPtAu3 (SCAN)

Data for HfPtAu3 at its PBEsol-relaxed geometry.

Crystal system: cubic
Distance to the lowest polymorph of the same formula in meV/atom: 317
Spin magnetization in μB per atom: 0.00
Energy of formation in meV/atom: 1187
DOS(E_F) in states/eV per cell: 6.3

```
HfPtAu3
1.0
4.974 0.000 0.000
0.000 4.974 0.000
0.000 0.000 4.974
Pt Au Hf
1 3 1
direct
0.500 0.500 0.500
0.000 0.000 0.500
0.000 0.500 0.000
0.500 0.000 0.000
0.000 0.000 0.000
```

---

Q: Which of these has the highest DOS(E_F)?
A: number 1